The following is a DFT calculation (PBE-GGA) of a geometry-optimized CeDyIn structure.

Values from the calculation:
Excess energy over the best structure of this formula in the dataset, kJ/mol of formula units: 59
V, Å³/cell: 161
Energy of formation from the pure elements, eV/atom: -0.083

abc: 5.3234 5.3234 6.5698
angles: 90.00 90.00 120.00
Fractional coordinates of all 6 atoms:
Ce 0.3333 0.6667 0.2500
Ce 0.6667 0.3333 0.7500
Dy 0.3333 0.6667 0.7500
Dy 0.6667 0.3333 0.2500
In 0.0000 0.0000 0.0000
In 0.0000 0.0000 0.5000